# SrLi2Cu2, optimized geometry, DFT PBE
data_SrLi2Cu2
_chemical_formula_sum 'Sr2 Li4 Cu4'
_cell_length_a 7.564
_cell_length_b 7.564
_cell_length_c 3.686
_cell_angle_alpha 90.00
_cell_angle_beta 90.00
_cell_angle_gamma 90.00
_space_group_name_H-M_alt 'P 4/m b m'
_space_group_IT_number 127
_space_group_name_Hall '-P 4 2ab'
loop_
_atom_site_label
_atom_site_type_symbol
_atom_site_fract_x
_atom_site_fract_y
_atom_site_fract_z
Sr1 Sr 0.000 0.000 0.000
Li1 Li 0.142 0.358 0.500
Cu1 Cu 0.115 0.615 0.000
# - Calculated volume: 21.1 Å³/atom
# - Formation enthalpy at 0 K: 128 meV per atom
# - Excess energy over the best structure of this formula in the dataset: 0.767 eV/f.u.
# - D(E_F): 3.668 states/eV per cell